Below is a relaxed structure of EuEr2Th, with properties calculated at the PBE level.

Lattice parameters (Å, degrees): 5.8675 5.8675 3.8160 90.00 90.00 90.00
Space group P4/mmm (No. 123)
Inequivalent atoms, fractional coordinates:
Eu 0.0000 0.0000 0.0000 [1 per cell]
Er 0.0000 0.5000 0.5000 [2 per cell]
Th 0.5000 0.5000 0.0000 [1 per cell]

Output
Magnetization in μB/f.u.: 7.192
DFT total energy in eV per atom: -6.548
E above lowest polymorph in meV/atom: 111
DOS(E_F) in states/eV/cell: 5.708
Crystal system: tetragonal

Below is a relaxed structure of EuErTh2, with properties calculated at the PBE level.

Lattice parameters (Å, degrees): 3.5064 3.5064 38.0185 90.00 90.00 120.00
Space group R-3m (No. 166, hexagonal axes)
Inequivalent atoms, fractional coordinates:
Eu 0.0000 0.0000 0.0000 [3 per cell]
Er 0.0000 0.0000 0.5000 [3 per cell]
Th 0.0000 0.0000 0.0898 [6 per cell]

Output
Magnetization in μB/f.u.: 7.748
DFT total energy in eV per atom: -7.208
E above lowest polymorph in meV/atom: 63
DOS(E_F) in states/eV/cell: 17.336
Crystal system: trigonal